1.
Material: Y2ScAg2
Method: DFT, PBEsol
State: optimized geometry

The value obtained for the energy of formation is -0.21 eV per atom. The space group is P4/mbm (127).

a b c (Å): 3.620 8.082 8.082
angles (deg): 90.00 90.00 90.00
Fractional positions:
Y 0.500 0.171 0.671
Y 0.500 0.671 0.829
Y 0.500 0.829 0.329
Y 0.500 0.329 0.171
Sc 0.000 0.000 0.000
Sc 0.000 0.500 0.500
Ag 0.000 0.373 0.873
Ag 0.000 0.873 0.627
Ag 0.000 0.627 0.127
Ag 0.000 0.127 0.373

2.
Material: La2CdRh2
Method: DFT, PBEsol
State: optimized geometry

The value obtained for the energy of formation is -0.44 eV per atom. The space group is I4/mmm (139).

a b c (Å): 5.433 5.598 5.433
angles (deg): 119.03 90.00 119.03
Fractional positions:
Cd 0.000 0.000 0.000
Rh 0.334 0.668 0.334
Rh 0.666 0.332 0.666
La 0.250 0.500 0.750
La 0.750 0.500 0.250

3.
Material: CuSi2Hg
Method: DFT, PBEsol
State: optimized geometry

The value obtained for the formation energy without anion corrections is 0.4474 eV/atom. The space group is I-4m2 (119).

a b c (Å): 4.044 4.044 4.843
angles (deg): 114.68 114.68 90.00
Fractional positions:
Cu 0.500 0.500 0.000
Hg 0.250 0.750 0.500
Si 0.000 0.000 0.000
Si 0.750 0.250 0.500

4.
Material: Li2TlGe2
Method: DFT, PBEsol
State: optimized geometry

For the distance to the lowest polymorph of the same formula, the calculation gives 0.000 eV/atom. The value obtained for the energy of formation is -0.18 eV per atom. The space group is P4/mbm (127).

a b c (Å): 2.994 7.844 7.844
angles (deg): 90.00 90.00 90.00
Fractional positions:
Tl 0.000 0.000 0.000
Tl 0.000 0.500 0.500
Ge 0.000 0.388 0.888
Ge 0.000 0.888 0.612
Ge 0.000 0.612 0.112
Ge 0.000 0.112 0.388
Li 0.500 0.186 0.686
Li 0.500 0.686 0.814
Li 0.500 0.814 0.314
Li 0.500 0.314 0.186

5.
Material: ZnSb2Rh
Method: DFT, PBEsol
State: optimized geometry

The value obtained for the formation energy without anion corrections is -0.0693 eV/atom. The space group is P4/mmm (123).

a b c (Å): 3.176 3.176 7.689
angles (deg): 90.00 90.00 90.00
Fractional positions:
Rh 0.500 0.500 0.500
Sb 0.000 0.000 0.720
Sb 0.000 0.000 0.280
Zn 0.500 0.500 0.000

6.
Material: AlGaSb2
Method: DFT, PBEsol
State: optimized geometry

The value obtained for the formation energy without anion corrections is -0.1156 eV/atom. The space group is I-42d (122).

a b c (Å): 6.139 6.139 7.520
angles (deg): 114.09 114.09 90.00
Fractional positions:
Sb 0.372 0.875 0.250
Sb 0.878 0.375 0.250
Sb 0.125 0.122 0.750
Sb 0.625 0.628 0.750
Al 0.750 0.250 0.500
Al 0.500 0.500 0.000
Ga 0.250 0.750 0.500
Ga 0.000 0.000 0.000